## CaAc2MoO8 (PBE with a Hubbard U)

Data for CaAc2MoO8 after structural relaxation.

Computed properties:
DFT total energy: -7.085 eV/atom
Symmetry: P-1, No. 2

a = 4.650 Å, b = 5.558 Å, c = 7.384 Å
α = 90.03°, β = 90.02°, γ = 92.46°
Fractional positions:
Ca 0.000 0.000 0.000
Ac 0.499 0.500 0.752
Ac 0.501 0.500 0.248
Mo 0.000 0.000 0.500
O 0.059 0.767 0.313
O 0.059 0.768 0.688
O 0.396 0.260 0.000
O 0.420 0.110 0.500
O 0.580 0.890 0.500
O 0.604 0.740 0.000
O 0.941 0.232 0.312
O 0.941 0.233 0.687